Compound: Li4TiCo3O8
Source: the Alexandria database
Functional: PBE+U
Structure: optimized geometry

Computed properties:
* relative energy among the computed polymorphs: 4 meV per atom
* space group: P-1
* VASP energy: -198.0 eV for the cell shown

a = 5.8119 Å, b = 5.8500 Å, c = 10.2156 Å
α = 89.79°, β = 73.91°, γ = 60.31°
With the nearest neighbours (Å) after each atom.
Positions (direct):
Li: 0.0004 0.2473 0.2485  6 O 2.04-2.21
Li: 0.9996 0.7527 0.7515  6 O 2.04-2.21
Li: 0.0097 0.7397 0.2489  6 O 2.14-2.23
Li: 0.4856 0.2680 0.7535  5 O 2.02-2.17
Li: 0.4953 0.7486 0.7520  6 O 2.05-2.14
Li: 0.5047 0.2514 0.2480  6 O 2.05-2.14
Li: 0.5144 0.7320 0.2465  5 O 2.02-2.17
Li: 0.9903 0.2603 0.7511  6 O 2.14-2.23
Ti: 0.5000 0.0000 0.0000  6 O 1.98-2.01
Ti: 0.5000 0.5000 0.5000  6 O 1.95-2.02
Co: 0.0000 0.0000 0.0000  6 O 1.95-1.98
Co: 0.0000 0.0000 0.5000  6 O 2.06-2.10
Co: 0.0000 0.5000 0.0000  6 O 2.04-2.10
Co: 0.0000 0.5000 0.5000  6 O 1.93-2.13
Co: 0.5000 0.0000 0.5000  4 O 1.93-1.94
Co: 0.5000 0.5000 0.0000  6 O 1.95-2.00
O: 0.2367 0.4012 0.6182  2 Co 1.95-2.18, 1 Ti 2.00, 3 Li 2.04-2.16
O: 0.2422 0.6426 0.8927  3 Co 1.95-2.04, 3 Li 2.08-2.17
O: 0.2438 0.1460 0.3937  3 Co 1.93-2.06, 1 Li 2.14
O: 0.2494 0.1137 0.8851  1 Ti 1.98, 2 Co 1.98-2.10, 3 Li 2.09-2.18
O: 0.2598 0.8665 0.1106  2 Co 1.98-2.00, 1 Ti 2.01, 3 Li 2.14-2.18
O: 0.2708 0.6216 0.3782  1 Ti 1.95, 3 Li 2.02-2.14, 2 Co 2.10-2.13
O: 0.2774 0.3600 0.1135  2 Co 1.97-2.08, 1 Ti 1.99, 3 Li 2.05-2.18
O: 0.2773 0.8690 0.6123  2 Co 1.93-2.07, 1 Ti 2.02, 1 Li 2.06
O: 0.7227 0.1310 0.3877  2 Co 1.93-2.07, 1 Ti 2.02, 1 Li 2.06
O: 0.7226 0.6400 0.8865  2 Co 1.97-2.08, 1 Ti 1.99, 3 Li 2.05-2.18
O: 0.7292 0.3784 0.6218  1 Ti 1.95, 3 Li 2.02-2.14, 2 Co 2.10-2.13
O: 0.7402 0.1335 0.8894  2 Co 1.98-2.00, 1 Ti 2.01, 3 Li 2.14-2.18
O: 0.7506 0.8863 0.1149  1 Ti 1.98, 2 Co 1.98-2.10, 3 Li 2.09-2.18
O: 0.7562 0.8540 0.6063  3 Co 1.93-2.06, 1 Li 2.14
O: 0.7578 0.3574 0.1073  3 Co 1.95-2.04, 3 Li 2.08-2.17
O: 0.7633 0.5988 0.3818  2 Co 1.95-2.18, 1 Ti 2.00, 3 Li 2.04-2.16